Record 1
An optimized crystal structure of LiAlC, computed with GGA-PBE.

Computed properties:
**Crystal system**: monoclinic
**E**: -4.839 eV/atom
**Volume**: 12.9 Å³ per atom
**Calculated formation energy**: 0.1211 eV/atom

```
6
Lattice="4.303 0.000 0.000 0.000 3.365 0.000 -1.171 0.000 5.333" Properties=species:S:1:pos:R:3 pbc="T T T"
Li 0.453 0.000 1.184
Li 2.678 0.000 4.149
Al 0.464 1.682 3.565
Al 2.668 1.682 1.768
C 0.629 0.000 4.717
C 2.503 0.000 0.616
```

***

Record 2
An optimized crystal structure of Pa4Ga, computed with GGA-PBE.

Computed properties:
**Energy above the lowest structure with this stoichiometry**: 1.01 eV/f.u.
**Crystal system**: tetragonal
**E**: -8.060 eV/atom
**Volume**: 24.9 Å³ per atom
**Calculated formation energy**: 0.1422 eV/atom

```
10
Lattice="-3.096 3.096 6.488 3.096 -3.096 6.488 3.096 3.096 -6.488" Properties=species:S:1:pos:R:3 pbc="T T T"
Pa 4.718 0.764 0.818
Pa 0.784 0.073 2.426
Pa 3.880 0.073 4.062
Pa 1.475 2.332 0.818
Pa 1.621 0.764 5.669
Pa -0.784 3.023 2.426
Pa 2.312 3.023 4.062
Pa -1.621 2.332 5.669
Ga 3.096 1.548 -1.622
Ga 0.000 1.548 8.109
```

***

Record 3
An optimized crystal structure of CaSn3Rh, computed with GGA-PBE.

Computed properties:
**Crystal system**: orthorhombic
**E**: -4.720 eV/atom
**Volume**: 24.7 Å³ per atom
**Calculated formation energy**: -0.4475 eV/atom

```
5
Lattice="4.615 0.000 0.000 0.000 2.380 5.621 0.000 -2.380 5.621" Properties=species:S:1:pos:R:3 pbc="T T T"
Ca 0.000 0.000 0.000
Sn 0.000 0.000 8.006
Sn 2.308 0.000 2.156
Sn 2.308 0.000 5.298
Rh 0.000 0.000 3.618
```

***

Record 4
An optimized crystal structure of Sc2AgRh, computed with GGA-PBE.

Computed properties:
**Crystal system**: orthorhombic
**E**: -5.545 eV/atom
**Volume**: 20.0 Å³ per atom
**Calculated formation energy**: 0.1711 eV/atom

```
4
Lattice="-1.512 2.552 5.194 1.512 -2.552 5.194 1.512 2.552 -5.194" Properties=species:S:1:pos:R:3 pbc="T T T"
Sc 0.000 0.000 2.412
Sc 0.000 0.000 7.976
Ag 0.000 0.000 5.194
Rh 0.000 0.000 0.000
```

***

Q: Among the records above, which one has the lowest E?
A: Pa4Ga

***

Q: The highest calculated formation energy belongs to which entry?
A: Sc2AgRh

***

Q: Which value of E does entry 2 give?
A: -8.060 eV/atom